Record 1
Density functional theory data (GGA-PBE) for a relaxed structure of Pm5Pr2YTm.

Output
total energy: -41.83 eV per formula unit
magnetization: 0.0 μB/f.u.
DOS at the Fermi energy: 1.4661 states/eV per atom
energy relative to the elements: 0.27 eV per atom

Lattice parameters (Å, degrees): 8.6333 8.6333 10.3405 114.67 114.67 90.00
Last column: nearest neighbours and their distance in Å.
Positions (direct):
Pr (0.3783, 0.8783, 0.0000)  1 Pr 2.97, 2 Pm 3.09
Pr (0.8783, 0.6217, 0.0000)  1 Pr 2.97, 2 Pm 3.09
Pr (0.6217, 0.1217, 0.0000)  1 Pr 2.97, 2 Pm 3.09
Pr (0.1217, 0.3783, 0.0000)  1 Pr 2.97, 2 Pm 3.09
Y (0.2500, 0.2500, 0.5000)  8 Pm 3.55
Y (0.7500, 0.7500, 0.5000)  8 Pm 3.55
Pm (0.1377, 0.0751, 0.7128)  1 Pr 3.09, 1 Tm 3.21
Pm (0.6377, 0.1377, 0.7128)  1 Pr 3.09, 1 Tm 3.21
Pm (0.4249, 0.3623, 0.2872)  1 Pr 3.09, 1 Tm 3.21
Pm (0.0000, 0.0000, 0.0000)  4 Pr 3.43
Pm (0.0751, 0.5751, 0.7128)  1 Pr 3.09, 1 Tm 3.21
Pm (0.3623, 0.8623, 0.2872)  1 Pr 3.09, 1 Tm 3.21
Pm (0.5000, 0.5000, 0.0000)  4 Pr 3.43
Pm (0.9249, 0.4249, 0.2872)  1 Pr 3.09, 1 Tm 3.21
Pm (0.8623, 0.9249, 0.2872)  1 Pr 3.09, 1 Tm 3.21
Pm (0.5751, 0.6377, 0.7128)  1 Pr 3.09, 1 Tm 3.21
Tm (0.7500, 0.2500, 0.5000)  4 Pm 3.21
Tm (0.2500, 0.7500, 0.5000)  4 Pm 3.21

---

Record 2
Density functional theory data (GGA-PBE) for a relaxed structure of PmPr2Y6Tm3.

Output
total energy: -66.23 eV per formula unit
magnetization: 0.0 μB/f.u.
DOS at the Fermi energy: 1.4875 states/eV per atom
energy relative to the elements: 0.02 eV per atom

Lattice parameters (Å, degrees): 6.2095 6.2095 11.8451 95.01 95.01 119.97
Last column: nearest neighbours and their distance in Å.
Positions (direct):
Y (0.0853, 0.4183, 0.2551)  3 Tm 3.53, 6 Y 3.58-3.59, 2 Pr 3.62-3.63, 1 Pm 3.62
Y (0.4183, 0.0853, 0.2551)  3 Tm 3.53, 6 Y 3.58-3.59, 2 Pr 3.62-3.63, 1 Pm 3.62
Y (0.9147, 0.5817, 0.7449)  3 Tm 3.53, 6 Y 3.58-3.59, 2 Pr 3.62-3.63, 1 Pm 3.62
Y (0.2476, 0.2476, 0.7448)  3 Tm 3.53, 6 Y 3.58-3.59, 1 Pm 3.62, 2 Pr 3.63
Y (0.5817, 0.9147, 0.7449)  3 Tm 3.53, 6 Y 3.58-3.59, 2 Pr 3.62-3.63, 1 Pm 3.62
Y (0.7524, 0.7524, 0.2552)  3 Tm 3.53, 6 Y 3.58-3.59, 1 Pm 3.62, 2 Pr 3.63
Pm (0.0000, 0.0000, 0.0000)  6 Pr 3.59, 6 Y 3.62
Tm (0.8333, 0.1667, 0.5000)  6 Y 3.53, 6 Tm 3.58-3.59
Tm (0.5000, 0.5000, 0.5000)  6 Y 3.53, 6 Tm 3.58-3.59
Tm (0.1667, 0.8333, 0.5000)  6 Y 3.53, 6 Tm 3.58-3.59
Pr (0.3334, 0.6666, 0.0000)  3 Pr 3.58-3.59, 3 Pm 3.59, 6 Y 3.62-3.63
Pr (0.6666, 0.3334, 0.0000)  3 Pr 3.58-3.59, 3 Pm 3.59, 6 Y 3.62-3.63

---

Record 3
Density functional theory data (GGA-PBE) for a relaxed structure of Pm2PrYTm.

Output
total energy: -23.22 eV per formula unit
magnetization: 0.0 μB/f.u.
DOS at the Fermi energy: 1.5555 states/eV per atom
energy relative to the elements: 0.40 eV per atom

Lattice parameters (Å, degrees): 7.2940 8.4658 7.2067 125.97 90.00 90.00
Last column: nearest neighbours and their distance in Å.
Positions (direct):
Pm (0.5000, 0.6906, 0.0000)  2 Y 3.19, 1 Pm 3.23
Pm (0.5000, 0.3094, 0.0000)  2 Y 3.19, 1 Pm 3.23
Pm (0.0000, 0.6906, 0.0000)  2 Y 3.19, 1 Pm 3.23
Pm (0.0000, 0.3094, 0.0000)  2 Y 3.19, 1 Pm 3.23
Y (0.2500, 0.9953, 0.9906)  1 Pr 3.13, 4 Pm 3.19, 1 Tm 3.24
Y (0.7500, 0.0047, 0.0094)  1 Pr 3.13, 4 Pm 3.19, 1 Tm 3.24
Tm (0.2500, 0.2729, 0.5458)  1 Y 3.24, 4 Pm 3.60
Tm (0.7500, 0.7271, 0.4542)  1 Y 3.24, 4 Pm 3.60
Pr (0.2500, 0.7268, 0.4536)  1 Y 3.13
Pr (0.7500, 0.2732, 0.5464)  1 Y 3.13

---

Record 4
Density functional theory data (GGA-PBE) for a relaxed structure of Pm6Pr2Y3Tm.

Output
total energy: -61.76 eV per formula unit
magnetization: 0.0 μB/f.u.
DOS at the Fermi energy: 1.3207 states/eV per atom
energy relative to the elements: 0.01 eV per atom

Lattice parameters (Å, degrees): 6.2915 6.2915 12.0030 95.01 95.01 120.00
Last column: nearest neighbours and their distance in Å.
Positions (direct):
Pm (0.9160, 0.5844, 0.7480)  3 Y 3.60-3.61, 6 Pm 3.61-3.64, 1 Tm 3.64, 2 Pr 3.65
Pm (0.0840, 0.4156, 0.2520)  3 Y 3.60-3.61, 6 Pm 3.61-3.64, 1 Tm 3.64, 2 Pr 3.65
Pm (0.2477, 0.2477, 0.7476)  3 Y 3.60-3.61, 6 Pm 3.61-3.64, 1 Tm 3.64, 2 Pr 3.65
Pm (0.5844, 0.9160, 0.7480)  3 Y 3.60-3.61, 6 Pm 3.61-3.64, 1 Tm 3.64, 2 Pr 3.65
Pm (0.7523, 0.7523, 0.2524)  3 Y 3.60-3.61, 6 Pm 3.61-3.64, 1 Tm 3.64, 2 Pr 3.65
Pm (0.4156, 0.0840, 0.2520)  3 Y 3.60-3.61, 6 Pm 3.61-3.64, 1 Tm 3.64, 2 Pr 3.65
Y (0.8337, 0.1663, 0.5000)  6 Pm 3.60-3.61, 6 Y 3.62-3.64
Y (0.5000, 0.5000, 0.5000)  6 Pm 3.60-3.61, 6 Y 3.63-3.64
Y (0.1663, 0.8337, 0.5000)  6 Pm 3.60-3.61, 6 Y 3.62-3.64
Pr (0.6667, 0.3333, 0.0000)  3 Tm 3.63, 3 Pr 3.63, 6 Pm 3.65
Pr (0.3333, 0.6667, 0.0000)  3 Tm 3.63, 3 Pr 3.63, 6 Pm 3.65
Tm (0.0000, 0.0000, 0.0000)  6 Pr 3.63, 6 Pm 3.64

---

Record 5
Density functional theory data (GGA-PBE) for a relaxed structure of PmPr2YTm2.

Output
total energy: -29.34 eV per formula unit
magnetization: 0.0 μB/f.u.
DOS at the Fermi energy: 1.6142 states/eV per atom
energy relative to the elements: 0.06 eV per atom

Lattice parameters (Å, degrees): 5.6974 7.0893 9.8506 90.00 90.00 90.00
Last column: nearest neighbours and their distance in Å.
Positions (direct):
Tm (0.5000, 0.2577, 0.3319)  3 Pm 3.22-3.55, 2 Pr 3.23
Tm (0.5000, 0.7577, 0.6681)  3 Pm 3.22-3.55, 2 Pr 3.23
Tm (0.0000, 0.7575, 0.1646)  2 Pm 3.34, 7 Pr 3.36-3.73
Tm (0.0000, 0.2575, 0.8354)  2 Pm 3.34, 7 Pr 3.36-3.73
Pr (0.5000, 0.5076, 0.0001)  6 Pr 3.54-3.78, 6 Tm 3.72-3.73, 2 Pm 3.80
Pr (0.0000, 0.2574, 0.1764)  5 Tm 3.23-3.55
Pr (0.5000, 0.0076, 0.9999)  6 Pr 3.54-3.78, 6 Tm 3.72-3.73, 2 Pm 3.80
Pr (0.0000, 0.7574, 0.8236)  5 Tm 3.23-3.55
Y (0.0000, 0.5076, 0.5000)  2 Y 3.54, 2 Pr 3.65, 4 Pm 3.70, 6 Tm 3.74-3.75
Y (0.0000, 0.0076, 0.5000)  2 Y 3.54, 2 Pr 3.65, 4 Pm 3.70, 6 Tm 3.74-3.75
Pm (0.5000, 0.2578, 0.6589)  5 Tm 3.22-3.55
Pm (0.5000, 0.7578, 0.3411)  5 Tm 3.22-3.55

---

Record 6
Density functional theory data (GGA-PBE) for a relaxed structure of PmPrY2Tm.

Output
total energy: -24.99 eV per formula unit
magnetization: 0.0 μB/f.u.
DOS at the Fermi energy: 1.6931 states/eV per atom
energy relative to the elements: 0.39 eV per atom

Lattice parameters (Å, degrees): 7.2126 8.4873 7.1710 126.28 90.00 90.00
Last column: nearest neighbours and their distance in Å.
Positions (direct):
Y (0.5000, 0.6874, 0.0000)  1 Y 3.18, 2 Pm 3.21, 2 Tm 3.51
Y (0.0000, 0.3126, 0.0000)  1 Y 3.18, 2 Pm 3.21, 2 Tm 3.51
Y (0.0000, 0.6874, 0.0000)  1 Y 3.18, 2 Pm 3.21, 2 Tm 3.51
Y (0.5000, 0.3126, 0.0000)  1 Y 3.18, 2 Pm 3.21, 2 Tm 3.51
Pm (0.7500, 0.0012, 0.0024)  1 Pr 3.09, 4 Y 3.21, 1 Tm 3.23
Pm (0.2500, 0.9988, 0.9976)  1 Pr 3.09, 4 Y 3.21, 1 Tm 3.23
Pr (0.2500, 0.7317, 0.4634)  1 Pm 3.09
Pr (0.7500, 0.2683, 0.5366)  1 Pm 3.09
Tm (0.7500, 0.7217, 0.4434)  1 Pm 3.23, 4 Y 3.51, 2 Pr 3.61
Tm (0.2500, 0.2783, 0.5566)  1 Pm 3.23, 4 Y 3.51, 2 Pr 3.61

---

Record 7
Density functional theory data (GGA-PBE) for a relaxed structure of Pm2PrY2Tm.

Output
total energy: -31.07 eV per formula unit
magnetization: 0.0 μB/f.u.
DOS at the Fermi energy: 1.4971 states/eV per atom
energy relative to the elements: 0.10 eV per atom

Lattice parameters (Å, degrees): 3.5827 6.1281 18.4327 90.00 90.00 90.00
Last column: nearest neighbours and their distance in Å.
Positions (direct):
Y (0.0000, 0.3404, 0.1592)  5 Pm 3.44-3.56, 2 Pr 3.57, 2 Y 3.58, 1 Tm 3.60
Y (0.0000, 0.6596, 0.8408)  5 Pm 3.44-3.56, 2 Pr 3.57, 2 Y 3.58, 1 Tm 3.60
Y (0.5000, 0.1596, 0.6592)  5 Pm 3.44-3.56, 2 Pr 3.57, 2 Y 3.58, 1 Tm 3.60
Y (0.5000, 0.8404, 0.3408)  5 Pm 3.44-3.56, 2 Pr 3.57, 2 Y 3.58, 1 Tm 3.60
Pm (0.0000, 0.3392, 0.3456)  5 Y 3.44-3.56, 2 Tm 3.50, 1 Pr 3.53, 2 Pm 3.58
Pm (0.5000, 0.1608, 0.8456)  5 Y 3.44-3.56, 2 Tm 3.50, 1 Pr 3.53, 2 Pm 3.58
Pm (0.5000, 0.8392, 0.1544)  5 Y 3.44-3.56, 2 Tm 3.50, 1 Pr 3.53, 2 Pm 3.58
Pm (0.0000, 0.6608, 0.6544)  5 Y 3.44-3.56, 2 Tm 3.50, 1 Pr 3.53, 2 Pm 3.58
Tm (0.0000, 0.0000, 0.0000)  4 Pm 3.50, 4 Pr 3.55, 2 Tm 3.58, 2 Y 3.60
Tm (0.5000, 0.5000, 0.5000)  4 Pm 3.50, 4 Pr 3.55, 2 Tm 3.58, 2 Y 3.60
Pr (0.0000, 0.0000, 0.5000)  2 Pm 3.53, 4 Tm 3.55, 4 Y 3.57, 2 Pr 3.58
Pr (0.5000, 0.5000, 0.0000)  2 Pm 3.53, 4 Tm 3.55, 4 Y 3.57, 2 Pr 3.58

---

Record 8
Density functional theory data (GGA-PBE) for a relaxed structure of Pm2PrY3Tm6.

Output
total energy: -60.20 eV per formula unit
magnetization: 0.0 μB/f.u.
DOS at the Fermi energy: 1.4029 states/eV per atom
energy relative to the elements: 0.03 eV per atom

Lattice parameters (Å, degrees): 6.1655 6.1655 11.7332 95.02 95.02 119.95
Last column: nearest neighbours and their distance in Å.
Positions (direct):
Pr (0.0000, 0.0000, 0.0000)  6 Pm 3.56, 6 Tm 3.56-3.57
Tm (0.0849, 0.4185, 0.2522)  3 Y 3.52-3.53, 6 Tm 3.56-3.57, 2 Pm 3.56-3.57, 1 Pr 3.57
Tm (0.7512, 0.7512, 0.2522)  3 Y 3.52-3.53, 6 Tm 3.56-3.57, 1 Pr 3.56, 2 Pm 3.57
Tm (0.2488, 0.2488, 0.7478)  3 Y 3.52-3.53, 6 Tm 3.56-3.57, 1 Pr 3.56, 2 Pm 3.57
Tm (0.5815, 0.9151, 0.7478)  3 Y 3.52-3.53, 6 Tm 3.56-3.57, 2 Pm 3.56-3.57, 1 Pr 3.57
Tm (0.9151, 0.5815, 0.7478)  3 Y 3.52-3.53, 6 Tm 3.56-3.57, 2 Pm 3.56-3.57, 1 Pr 3.57
Tm (0.4185, 0.0849, 0.2522)  3 Y 3.52-3.53, 6 Tm 3.56-3.57, 2 Pm 3.56-3.57, 1 Pr 3.57
Y (0.5000, 0.5000, 0.5000)  6 Tm 3.52-3.53, 6 Y 3.56
Y (0.1667, 0.8333, 0.5000)  6 Tm 3.52-3.53, 6 Y 3.56
Y (0.8333, 0.1667, 0.5000)  6 Tm 3.52-3.53, 6 Y 3.56
Pm (0.6667, 0.3333, 0.0000)  3 Pm 3.56, 3 Pr 3.56, 6 Tm 3.56-3.57
Pm (0.3333, 0.6667, 0.0000)  3 Pm 3.56, 3 Pr 3.56, 6 Tm 3.56-3.57

---

Record 9
Density functional theory data (GGA-PBE) for a relaxed structure of Pm4Pr2YTm2.

Output
total energy: -43.76 eV per formula unit
magnetization: 0.0 μB/f.u.
DOS at the Fermi energy: 1.6139 states/eV per atom
energy relative to the elements: 0.02 eV per atom

Lattice parameters (Å, degrees): 5.1320 8.1208 8.0704 107.63 90.00 108.42
Last column: nearest neighbours and their distance in Å.
Positions (direct):
Pm (0.5557, 0.1113, 0.3304)  2 Y 3.60, 2 Tm 3.60-3.61, 4 Pm 3.62-3.66, 4 Pr 3.64
Pm (0.7784, 0.5568, 0.6702)  3 Tm 3.60, 1 Y 3.60, 5 Pm 3.62-3.66, 3 Pr 3.63-3.65
Pm (0.2216, 0.4432, 0.3298)  3 Tm 3.60, 1 Y 3.60, 5 Pm 3.62-3.66, 3 Pr 3.63-3.65
Pm (0.4443, 0.8887, 0.6696)  2 Y 3.60, 2 Tm 3.60-3.61, 4 Pm 3.62-3.66, 4 Pr 3.64
Tm (0.3328, 0.6656, 0.9997)  3 Pr 3.59-3.61, 5 Pm 3.60-3.61, 2 Tm 3.62, 2 Y 3.64
Tm (0.6672, 0.3344, 0.0003)  3 Pr 3.59-3.61, 5 Pm 3.60-3.61, 2 Tm 3.62, 2 Y 3.64
Y (0.0000, 0.0000, 0.0000)  6 Pm 3.60, 2 Pr 3.61, 4 Tm 3.64
Pr (0.8880, 0.7761, 0.3311)  3 Tm 3.59-3.61, 1 Y 3.61, 7 Pm 3.63-3.65, 1 Pr 3.65
Pr (0.1120, 0.2239, 0.6689)  3 Tm 3.59-3.61, 1 Y 3.61, 7 Pm 3.63-3.65, 1 Pr 3.65

---

Record 10
Density functional theory data (GGA-PBE) for a relaxed structure of Pm4PrY2Tm2.

Output
total energy: -45.40 eV per formula unit
magnetization: 0.0 μB/f.u.
DOS at the Fermi energy: 1.3484 states/eV per atom
energy relative to the elements: 0.03 eV per atom

Lattice parameters (Å, degrees): 3.5996 8.8565 9.7508 100.18 90.00 101.73
Last column: nearest neighbours and their distance in Å.
Positions (direct):
Pm (0.1755, 0.3509, 0.2372)  3 Tm 3.36-3.58, 1 Pr 3.47, 3 Y 3.50-3.57, 4 Pm 3.58-3.60
Pm (0.4865, 0.9730, 0.6717)  5 Pm 3.46-3.60, 1 Tm 3.58, 2 Pr 3.64, 4 Y 3.68-3.70
Pm (0.5135, 0.0270, 0.3283)  5 Pm 3.46-3.60, 1 Tm 3.58, 2 Pr 3.64, 4 Y 3.68-3.70
Pm (0.8245, 0.6491, 0.7628)  3 Tm 3.36-3.58, 1 Pr 3.47, 3 Y 3.50-3.57, 4 Pm 3.58-3.60
Y (0.1577, 0.3154, 0.5890)  7 Pm 3.50-3.70, 2 Y 3.60, 2 Tm 3.65
Y (0.8423, 0.6846, 0.4110)  7 Pm 3.50-3.70, 2 Y 3.60, 2 Tm 3.65
Pr (0.0000, 0.0000, 0.0000)  6 Pm 3.47-3.64, 2 Pr 3.60, 4 Tm 3.61
Tm (0.3336, 0.6672, 0.0824)  4 Pm 3.36-3.58, 4 Tm 3.54-3.60, 2 Pr 3.61, 2 Y 3.65
Tm (0.6664, 0.3328, 0.9176)  4 Pm 3.36-3.58, 4 Tm 3.54-3.60, 2 Pr 3.61, 2 Y 3.65

---

Record 11
Density functional theory data (GGA-PBE) for a relaxed structure of PmPrYTm3.

Output
total energy: -28.75 eV per formula unit
magnetization: 0.0 μB/f.u.
DOS at the Fermi energy: 2.0610 states/eV per atom
energy relative to the elements: 0.11 eV per atom

Lattice parameters (Å, degrees): 5.8369 6.4019 11.6801 90.00 90.00 117.12
Last column: nearest neighbours and their distance in Å.
Positions (direct):
Pr (0.0000, 0.0000, 0.5000)  8 Tm 3.51-3.73, 2 Y 3.54
Pr (0.0000, 0.0000, 0.0000)  8 Tm 3.51-3.73, 2 Y 3.54
Tm (0.8297, 0.6594, 0.2500)  2 Tm 3.38, 2 Y 3.41, 2 Pm 3.48, 2 Pr 3.51
Tm (0.1703, 0.3406, 0.7500)  2 Tm 3.38, 2 Y 3.41, 2 Pm 3.48, 2 Pr 3.51
Tm (0.6725, 0.3449, 0.0046)  3 Tm 3.38-3.41, 1 Y 3.44, 2 Pm 3.50-3.54, 3 Pr 3.52-3.73
Tm (0.3275, 0.6551, 0.9954)  3 Tm 3.38-3.41, 1 Y 3.44, 2 Pm 3.50-3.54, 3 Pr 3.52-3.73
Tm (0.3275, 0.6551, 0.5046)  3 Tm 3.38-3.41, 1 Y 3.44, 2 Pm 3.50-3.54, 3 Pr 3.52-3.73
Tm (0.6725, 0.3449, 0.4954)  3 Tm 3.38-3.41, 1 Y 3.44, 2 Pm 3.50-3.54, 3 Pr 3.52-3.73
Y (0.1757, 0.3515, 0.2500)  4 Tm 3.41-3.44, 2 Pr 3.54, 3 Pm 3.57-3.64
Y (0.8243, 0.6485, 0.7500)  4 Tm 3.41-3.44, 2 Pr 3.54, 3 Pm 3.57-3.64
Pm (0.5045, 0.0090, 0.7500)  7 Tm 3.48-3.81, 3 Y 3.57-3.64
Pm (0.4955, 0.9910, 0.2500)  7 Tm 3.48-3.81, 3 Y 3.57-3.64